No. 1
{"formula": "Zr4Sc2Pb3N3", "functional": "GGA-PBE", "state": "optimized geometry", "cell": [[-3.551, -0.199, -4.630], [-5.082, -2.853, 0.342], [-3.704, 13.274, 5.945]], "species": ["Zr", "N", "Sc", "Sc", "N", "N", "Pb", "Zr", "Zr", "Zr", "Pb", "Zr", "Zr", "N", "Zr", "Pb", "Pb", "N", "Pb", "Sc", "Pb", "Sc", "N", "Zr"], "frac_coords": [[0.693, 0.860, 0.081], [0.500, 0.000, 0.500], [0.527, 0.363, 0.581], [0.363, 0.527, 0.081], [0.000, 0.500, 0.000], [0.337, 0.826, 0.000], [0.584, 0.747, 0.750], [0.140, 0.307, 0.419], [0.806, 0.974, 0.420], [0.860, 0.693, 0.581], [0.084, 0.916, 0.250], [0.026, 0.194, 0.080], [0.974, 0.806, 0.920], [0.663, 0.174, 0.000], [0.307, 0.140, 0.919], [0.253, 0.416, 0.750], [0.747, 0.584, 0.250], [0.826, 0.337, 0.500], [0.916, 0.084, 0.750], [0.473, 0.637, 0.419], [0.416, 0.253, 0.250], [0.637, 0.473, 0.919], [0.174, 0.663, 0.500], [0.194, 0.026, 0.580]], "dft_energy_ry_per_atom": -0.58476, "magmom_total_mub_per_atom": 0.001, "vol_a3_per_cell": 431.9}

No. 2
{"formula": "Ta4SiPbN2", "functional": "GGA-PBE", "state": "optimized geometry", "cell": [[3.254, 0.000, 0.000], [-1.627, 2.818, 0.000], [0.000, 0.000, 13.038]], "species": ["Ta", "Ta", "N", "N", "Ta", "Ta", "Si", "Pb"], "frac_coords": [[0.667, 0.333, 0.814], [0.000, 0.000, 0.359], [0.333, 0.667, 0.732], [0.333, 0.667, 0.268], [0.667, 0.333, 0.186], [0.000, 0.000, 0.641], [0.667, 0.333, 0.500], [0.000, 0.000, 0.000]], "dft_energy_ry_per_atom": -0.70061, "magmom_total_mub_per_atom": 0.001, "vol_a3_per_cell": 119.6}